## Ca2LaCd8 (PBE)

Data for a relaxed structure of Ca2LaCd8.

a = 5.4518 Å, b = 6.4088 Å, c = 9.1353 Å
α = 110.32°, β = 107.12°, γ = 90.67°
With the nearest neighbours (Å) after each atom.
Sites, in units of the cell vectors:
Ca  0.6883  0.6883  0.3766  12 Cd 3.22-3.37
Ca  0.3117  0.3117  0.6234  12 Cd 3.22-3.37
La  0.5000  0.0000  0.0000  10 Cd 3.33-3.72
Cd  0.1254  0.3603  0.2605  5 Cd 2.95-3.29, 1 Ca 3.30
Cd  0.8649  0.0998  0.7395  5 Cd 2.95-3.29, 1 Ca 3.30
Cd  0.7492  0.5011  0.0000  2 Cd 2.72-2.74
Cd  0.7051  0.2051  0.4102  6 Cd 3.19-3.36, 4 Ca 3.22-3.23, 1 La 3.33
Cd  0.2949  0.7949  0.5898  6 Cd 3.19-3.36, 4 Ca 3.22-3.23, 1 La 3.33
Cd  0.2508  0.4989  0.0000  2 Cd 2.72-2.74
Cd  0.1351  0.9002  0.2605  5 Cd 2.95-3.29, 1 Ca 3.30
Cd  0.8746  0.6397  0.7395  5 Cd 2.95-3.29, 1 Ca 3.30

Computed properties:
As for the volume: 25.79 Å³ per atom. The calculated total energy comes out at -1.7571 eV/atom.